# 1
The following is a DFT calculation (PBE) of a relaxed structure of KZr3N5.

Values from the calculation:
theoretical density	4.207	g cm⁻³
VASP energy	-7.535	eV/atom

a = 5.626 Å, b = 5.626 Å, c = 5.511 Å
α = 90.00°, β = 90.00°, γ = 120.00°
Element x y z (fractional)
K (0.000, 0.000, 0.000)
Zr (0.000, 0.500, 0.500)
Zr (0.500, 0.000, 0.500)
Zr (0.500, 0.500, 0.500)
N (0.000, 0.000, 0.500)
N (0.333, 0.667, 0.249)
N (0.333, 0.667, 0.751)
N (0.667, 0.333, 0.249)
N (0.667, 0.333, 0.751)

***

# 2
The following is a DFT calculation (PBE) of a relaxed structure of K3NaNb2O6.

Values from the calculation:
theoretical density	4.264	g cm⁻³
VASP energy	-6.498	eV/atom

a = 5.630 Å, b = 5.630 Å, c = 6.281 Å
α = 98.66°, β = 98.66°, γ = 120.03°
Element x y z (fractional)
K (0.000, 0.000, 0.000)
K (0.342, 0.658, 0.000)
K (0.658, 0.342, 0.000)
Na (0.500, 0.500, 0.500)
Nb (0.168, 0.832, 0.500)
Nb (0.832, 0.168, 0.500)
O (0.070, 0.437, 0.313)
O (0.196, 0.196, 0.683)
O (0.437, 0.070, 0.313)
O (0.563, 0.930, 0.687)
O (0.804, 0.804, 0.317)
O (0.930, 0.563, 0.687)

***

Question: What is the theoretical density in the first record?
Answer: 4.207 g cm⁻³

***

Question: What is the theoretical density in the first record?
Answer: 4.207 g cm⁻³

***

Question: Look up the VASP energy of the second one.
Answer: -6.498 eV/atom